i) This record from the Alexandria database describes TaTl2Tc after structural relaxation. The functional is PBE-GGA.

Lattice parameters (Å, degrees): 5.3539 5.3539 3.0282 90.00 90.00 112.89
Last column: nearest neighbours and their distance in Å.
Atoms (fractional coordinates):
Tl (0.5000, 0.5000, 0.0000)  4 Tl 2.96-3.03, 4 Ta 3.08, 4 Tc 3.08
Tc (0.0000, 0.5000, 0.5000)  2 Ta 2.96, 2 Tc 3.03, 8 Tl 3.08
Ta (0.5000, 0.0000, 0.5000)  2 Tc 2.96, 2 Ta 3.03, 8 Tl 3.08
Tl (0.0000, 0.0000, 0.0000)  4 Tl 2.96-3.03, 4 Tc 3.08, 4 Ta 3.08

Results
**Total magnetic moment**: 0.471 μB per atom



ii) This record from the Alexandria database describes TaTl2Tc after structural relaxation. The functional is PBE-GGA.

Lattice parameters (Å, degrees): 3.2180 3.2180 8.5304 90.00 90.00 90.00
Last column: nearest neighbours and their distance in Å.
Atoms (fractional coordinates):
Tl (0.5000, 0.5000, 0.2826)  8 Tl 3.22-3.60, 4 Ta 3.25
Tc (0.5000, 0.5000, 0.7074)  4 Ta 2.62
Ta (0.0000, 0.0000, 0.5547)  4 Tc 2.62
Tl (0.0000, 0.0000, 0.9553)  4 Tc 3.11, 4 Tl 3.22, 1 Ta 3.42

Results
**Total magnetic moment**: 0.000 μB per atom



iii) This record from the Alexandria database describes TaTl2Tc after structural relaxation. The functional is PBE-GGA.

Lattice parameters (Å, degrees): 3.0762 3.0762 9.8016 90.00 90.00 119.20
Last column: nearest neighbours and their distance in Å.
Atoms (fractional coordinates):
Tl (0.0000, 0.0000, 0.9902)  2 Tc 2.82, 2 Ta 2.98, 6 Tl 3.08-3.11
Tl (0.0000, 0.0000, 0.5098)  2 Tc 2.82, 2 Ta 2.98, 6 Tl 3.08-3.11
Ta (0.5000, 0.5000, 0.2500)  4 Tl 2.98, 6 Ta 3.08-3.11
Tc (0.5000, 0.5000, 0.7500)  4 Tl 2.82, 6 Tc 3.08-3.11

Results
**Total magnetic moment**: 0.224 μB per atom



iv) This record from the Alexandria database describes TaTl2Tc after structural relaxation. The functional is PBE-GGA.

Lattice parameters (Å, degrees): 4.8538 4.8538 3.2797 90.00 90.00 90.00
Last column: nearest neighbours and their distance in Å.
Atoms (fractional coordinates):
Tl (0.5000, 0.5000, 0.0000)  4 Tc 2.93, 4 Ta 2.93, 2 Tl 3.28
Ta (0.5000, 0.0000, 0.5000)  8 Tl 2.93, 2 Ta 3.28
Tc (0.0000, 0.5000, 0.5000)  8 Tl 2.93, 2 Tc 3.28
Tl (0.0000, 0.0000, 0.0000)  4 Ta 2.93, 4 Tc 2.93, 2 Tl 3.28

Results
**Total magnetic moment**: 0.009 μB per atom



Of them, ii) has the highest stability.



i) This record from the Alexandria database describes TaTlTc3 after structural relaxation. The functional is PBE-GGA.

Lattice parameters (Å, degrees): 4.8091 4.8091 4.8091 90.00 90.00 90.00
Last column: nearest neighbours and their distance in Å.
Atoms (fractional coordinates):
Tl (0.0000, 0.0000, 0.0000)  6 Tc 2.40
Ta (0.5000, 0.5000, 0.5000)  12 Tc 3.40
Tc (0.0000, 0.0000, 0.5000)  2 Tl 2.40
Tc (0.5000, 0.0000, 0.0000)  2 Tl 2.40
Tc (0.0000, 0.5000, 0.0000)  2 Tl 2.40

Results
**Total magnetic moment**: 0.151 μB per atom



ii) This record from the Alexandria database describes TaTlTc3 after structural relaxation. The functional is PBE-GGA.

Lattice parameters (Å, degrees): 4.8002 4.8002 4.8002 90.00 90.00 90.00
Last column: nearest neighbours and their distance in Å.
Atoms (fractional coordinates):
Tc (0.0000, 0.0000, 0.5000)  2 Ta 2.40
Tc (0.5000, 0.0000, 0.0000)  2 Ta 2.40
Ta (0.0000, 0.0000, 0.0000)  6 Tc 2.40
Tc (0.0000, 0.5000, 0.0000)  2 Ta 2.40
Tl (0.5000, 0.5000, 0.5000)  12 Tc 3.39

Results
**Total magnetic moment**: 0.618 μB per atom



Of them, ii) has the highest stability.



i) This record from the Alexandria database describes UTaTc after structural relaxation. The functional is PBE-GGA.

Lattice parameters (Å, degrees): 2.6888 2.6888 8.0733 99.59 99.59 90.00
Last column: nearest neighbours and their distance in Å.
Atoms (fractional coordinates):
Tc (0.1190, 0.1190, 0.2379)  1 Ta 2.59, 4 Tc 2.69
U (0.7770, 0.7770, 0.5540)  4 U 2.69, 1 Ta 2.78
Ta (0.9540, 0.9540, 0.9080)  1 Tc 2.59, 4 Ta 2.69, 1 U 2.78

Results
**Total magnetic moment**: 0.177 μB per atom



ii) This record from the Alexandria database describes UTaTc after structural relaxation. The functional is PBE-GGA.

Lattice parameters (Å, degrees): 3.1271 4.7900 7.3127 90.00 102.35 90.00
Last column: nearest neighbours and their distance in Å.
Atoms (fractional coordinates):
Ta (0.0737, 0.2500, 0.1473)  6 Tc 2.68-2.86
U (0.7589, 0.2500, 0.5177)  2 Tc 2.80, 6 U 2.87-3.13, 2 Ta 3.07
Tc (0.5785, 0.7500, 0.1570)  6 Ta 2.68-2.86, 2 U 2.80
Ta (0.9263, 0.7500, 0.8527)  6 Tc 2.68-2.86
U (0.2411, 0.7500, 0.4823)  2 Tc 2.80, 6 U 2.87-3.13, 2 Ta 3.07
Tc (0.4215, 0.2500, 0.8430)  6 Ta 2.68-2.86, 2 U 2.80

Results
**Total magnetic moment**: 0.002 μB per atom



Of them, ii) has the highest stability.



i) This record from the Alexandria database describes TaVTc after structural relaxation. The functional is PBE-GGA.

Lattice parameters (Å, degrees): 3.1147 3.1147 5.2215 107.35 107.35 90.00
Last column: nearest neighbours and their distance in Å.
Atoms (fractional coordinates):
Tc (0.6114, 0.6114, 0.2227)  4 V 2.65, 4 Ta 2.73
V (0.9565, 0.9565, 0.9129)  4 Tc 2.65, 4 Ta 2.75
Ta (0.2822, 0.2822, 0.5643)  4 Tc 2.73, 4 V 2.75

Results
**Total magnetic moment**: 0.000 μB per atom



ii) This record from the Alexandria database describes TaVTc after structural relaxation. The functional is PBE-GGA.

Lattice parameters (Å, degrees): 2.8088 4.3564 4.3564 120.00 90.00 90.00
Last column: nearest neighbours and their distance in Å.
Atoms (fractional coordinates):
Ta (0.6772, 0.3333, 0.6667)  3 Tc 2.68, 3 V 2.71, 2 Ta 2.81
Tc (0.0062, 0.0000, 0.0000)  3 V 2.66, 3 Ta 2.68, 2 Tc 2.81
V (0.3166, 0.6667, 0.3333)  3 Tc 2.66, 3 Ta 2.71, 2 V 2.81

Results
**Total magnetic moment**: 0.000 μB per atom



Of them, i) has the highest stability.



i) This record from the Alexandria database describes TaV2Tc2 after structural relaxation. The functional is PBE-GGA.

Lattice parameters (Å, degrees): 3.0899 3.1559 8.0202 78.65 90.00 90.00
Last column: nearest neighbours and their distance in Å.
Atoms (fractional coordinates):
Tc (0.5000, 0.6040, 0.7921)  4 V 2.59, 4 Ta 2.75
Ta (0.0000, 0.0000, 0.0000)  8 Tc 2.75, 2 V 3.00
V (0.0000, 0.1905, 0.6190)  2 V 2.45, 4 Tc 2.59
V (0.0000, 0.8095, 0.3810)  2 V 2.45, 4 Tc 2.59
Tc (0.5000, 0.3960, 0.2079)  4 V 2.59, 4 Ta 2.75

Results
**Total magnetic moment**: 0.000 μB per atom



ii) This record from the Alexandria database describes TaV2Tc2 after structural relaxation. The functional is PBE-GGA.

Lattice parameters (Å, degrees): 7.2496 7.2496 2.8762 90.00 90.00 90.00
Last column: nearest neighbours and their distance in Å.
Atoms (fractional coordinates):
Tc (0.3410, 0.1590, 0.5000)  6 V 2.48-2.63
V (0.8563, 0.6437, 0.0000)  6 Tc 2.48-2.63
Tc (0.8410, 0.3410, 0.5000)  6 V 2.48-2.63
V (0.1437, 0.3563, 0.0000)  6 Tc 2.48-2.63
Ta (0.0000, 0.0000, 0.0000)  4 V 2.79, 2 Ta 2.88, 8 Tc 3.08
Ta (0.5000, 0.5000, 0.0000)  4 V 2.79, 2 Ta 2.88, 8 Tc 3.08
V (0.6437, 0.1437, 0.0000)  6 Tc 2.48-2.63
Tc (0.6590, 0.8410, 0.5000)  6 V 2.48-2.63
V (0.3563, 0.8563, 0.0000)  6 Tc 2.48-2.63
Tc (0.1590, 0.6590, 0.5000)  6 V 2.48-2.63

Results
**Total magnetic moment**: 0.000 μB per atom



Of them, i) has the highest stability.



i) This record from the Alexandria database describes TaVTcW after structural relaxation. The functional is PBE-GGA.

Lattice parameters (Å, degrees): 3.1391 3.1391 6.3004 90.00 90.00 90.00
Last column: nearest neighbours and their distance in Å.
Atoms (fractional coordinates):
Ta (0.5000, 0.5000, 0.1120)  4 Tc 2.74, 4 W 2.79
Tc (0.0000, 0.0000, 0.3667)  4 V 2.68, 4 Ta 2.74
V (0.5000, 0.5000, 0.6046)  4 Tc 2.68, 4 W 2.69
W (0.0000, 0.0000, 0.8447)  4 V 2.69, 4 Ta 2.79

Results
**Total magnetic moment**: 0.000 μB per atom



ii) This record from the Alexandria database describes TaVTcW after structural relaxation. The functional is PBE-GGA.

Lattice parameters (Å, degrees): 4.4385 4.4385 4.4385 60.00 60.00 60.00
Last column: nearest neighbours and their distance in Å.
Atoms (fractional coordinates):
Ta (0.0000, 0.0000, 0.0000)  4 Tc 2.72, 4 V 2.72
Tc (0.7500, 0.7500, 0.7500)  4 W 2.72, 4 Ta 2.72
V (0.2500, 0.2500, 0.2500)  4 W 2.72, 4 Ta 2.72
W (0.5000, 0.5000, 0.5000)  4 Tc 2.72, 4 V 2.72

Results
**Total magnetic moment**: 0.000 μB per atom



Of them, i) has the highest stability.